DFT (PBE) results for an optimized crystal structure of Ba2NpPtS5.

Its crystal system is orthorhombic. The energy relative to the elements, uncorrected is -1391 meV/atom.

The space group is Cmc2_1 (No. 36) and the conventional cell measures 4.0590, 17.9785 and 12.9644 Å, with angles of 90.00, 90.00 and 90.00 degrees. The distinct sites, in fractional coordinates, are Ba at (0.0000, 0.1184, 0.0000), Ba at (0.0000, 0.1244, 0.3591), Np at (0.0000, 0.1919, 0.6816), Pt at (0.0000, 0.4410, 0.0892), S at (0.0000, 0.0447, 0.6761), S at (0.0000, 0.3019, 0.0445), S at (0.0000, 0.3054, 0.3205), S at (0.0000, 0.3374, 0.6798) and S at (0.0000, 0.4990, 0.9253).